1.
First-principles (GGA-PBE) data for a relaxed structure of KPbAuO3, as listed in the Open Quantum Materials Database.

a b c (Å): 10.2576 3.3775 12.2999
angles (deg): 90.00 90.00 90.00
Last column: nearest neighbours and their distance in Å.
Fractional coordinates of all 24 atoms:
Au 0.5820 0.5000 0.0360  2 O 2.17
Au 0.0820 0.0000 0.4640  2 O 2.17
Au 0.9180 0.5000 0.5360  2 O 2.17
Au 0.4180 0.0000 0.9640  2 O 2.17
K 0.3688 0.5000 0.2470  5 O 2.68-2.78
K 0.8688 0.0000 0.2530  5 O 2.68-2.78
K 0.1312 0.5000 0.7470  5 O 2.68-2.78
K 0.6312 0.0000 0.7530  5 O 2.68-2.78
O 0.9382 0.5000 0.0834  3 Pb 2.18-2.34
O 0.6992 0.0000 0.0872  2 Au 2.17, 1 Pb 2.19
O 0.2093 0.0000 0.1284  2 Pb 2.19
O 0.7093 0.5000 0.3716  2 Pb 2.19
O 0.1992 0.5000 0.4128  2 Au 2.17, 1 Pb 2.19
O 0.4382 0.0000 0.4166  3 Pb 2.18-2.34
O 0.5618 0.5000 0.5834  3 Pb 2.18-2.34
O 0.8008 0.0000 0.5872  2 Au 2.17, 1 Pb 2.19
O 0.2907 0.0000 0.6284  2 Pb 2.19
O 0.7907 0.5000 0.8716  2 Pb 2.19
O 0.3008 0.5000 0.9128  2 Au 2.17, 1 Pb 2.19
O 0.0618 0.0000 0.9166  3 Pb 2.18-2.34
Pb 0.1409 0.5000 0.0305  6 O 2.18-2.34
Pb 0.6409 0.0000 0.4695  6 O 2.18-2.34
Pb 0.3591 0.5000 0.5305  6 O 2.18-2.34
Pb 0.8591 0.0000 0.9695  6 O 2.18-2.34

Results
For the total energy, the calculation gives -4.655 eV per atom.

=====

2.
First-principles (GGA-PBE) data for a relaxed structure of KPbAuO, as listed in the Open Quantum Materials Database.

a b c (Å): 13.3094 13.3094 3.8741
angles (deg): 90.00 90.00 163.10
Last column: nearest neighbours and their distance in Å.
Fractional coordinates of all 8 atoms:
Au 0.7895 0.2105 0.2597  2 Au 2.86, 4 Pb 2.96-2.98
Au 0.2105 0.7895 0.2597  2 Au 2.86, 4 Pb 2.96-2.98
K 0.9297 0.0703 0.2424  4 O 2.79
K 0.0703 0.9297 0.2424  4 O 2.79
O 0.5878 0.4122 0.7419  1 Pb 2.12
O 0.4122 0.5878 0.7419  1 Pb 2.12
Pb 0.6681 0.3318 0.7559  1 O 2.12
Pb 0.3318 0.6681 0.7559  1 O 2.12

Results
For the total energy, the calculation gives -3.956 eV per atom.

=====

3.
First-principles (GGA-PBE) data for a relaxed structure of KPdAuO3, as listed in the Open Quantum Materials Database.

a b c (Å): 10.0351 3.1959 11.7126
angles (deg): 90.00 90.00 90.00
Last column: nearest neighbours and their distance in Å.
Fractional coordinates of all 24 atoms:
Au 0.5874 0.5000 0.0366  2 O 2.12
Au 0.0874 0.0000 0.4634  2 O 2.12
Au 0.9126 0.5000 0.5366  2 O 2.12
Au 0.4126 0.0000 0.9634  2 O 2.12
K 0.3505 0.5000 0.2282  5 O 2.55-2.85
K 0.8505 0.0000 0.2718  5 O 2.55-2.85
K 0.1495 0.5000 0.7282  5 O 2.55-2.85
K 0.6495 0.0000 0.7718  5 O 2.55-2.85
O 0.9443 0.5000 0.0875  3 Pd 2.05-2.09
O 0.7120 0.0000 0.0897  1 Pd 1.99, 2 Au 2.12
O 0.1868 0.0000 0.1054  2 Pd 2.04
O 0.6868 0.5000 0.3946  2 Pd 2.04
O 0.2120 0.5000 0.4103  1 Pd 1.99, 2 Au 2.12
O 0.4443 0.0000 0.4125  3 Pd 2.05-2.09
O 0.5557 0.5000 0.5875  3 Pd 2.05-2.09
O 0.7880 0.0000 0.5897  1 Pd 1.99, 2 Au 2.12
O 0.3132 0.0000 0.6054  2 Pd 2.04
O 0.8132 0.5000 0.8946  2 Pd 2.04
O 0.2880 0.5000 0.9103  1 Pd 1.99, 2 Au 2.12
O 0.0557 0.0000 0.9125  3 Pd 2.05-2.09
Pd 0.1267 0.5000 0.0094  6 O 1.99-2.09
Pd 0.6267 0.0000 0.4906  6 O 1.99-2.09
Pd 0.3733 0.5000 0.5094  6 O 1.99-2.09
Pd 0.8733 0.0000 0.9906  6 O 1.99-2.09

Results
For the total energy, the calculation gives -4.646 eV per atom.

=====

4.
First-principles (GGA-PBE) data for a relaxed structure of KPtAu3O4, as listed in the Open Quantum Materials Database.

a b c (Å): 5.5268 5.5268 5.5268
angles (deg): 90.00 90.00 90.00
Last column: nearest neighbours and their distance in Å.
Fractional coordinates of all 9 atoms:
Au 0.5000 0.5000 0.0000  4 O 2.34
Au 0.5000 0.0000 0.5000  4 O 2.34
Au 0.0000 0.5000 0.5000  4 O 2.34
K 0.0000 0.0000 0.0000  4 O 2.57
O 0.2686 0.2686 0.2686  1 Pt 2.22, 3 Au 2.34
O 0.7314 0.7314 0.2686  1 Pt 2.22, 3 Au 2.34
O 0.7314 0.2686 0.7314  1 Pt 2.22, 3 Au 2.34
O 0.2686 0.7314 0.7314  1 Pt 2.22, 3 Au 2.34
Pt 0.5000 0.5000 0.5000  4 O 2.22

Results
As for the spin magnetization: 4.482 μB/f.u. For the total energy, the calculation gives -3.745 eV per atom.

=====

5.
First-principles (GGA-PBE) data for a relaxed structure of KPtAuO3, as listed in the Open Quantum Materials Database.

a b c (Å): 3.1879 10.6764 11.2279
angles (deg): 90.00 90.00 90.00
Last column: nearest neighbours and their distance in Å.
Fractional coordinates of all 24 atoms:
Au 0.2500 0.5882 0.0288  2 O 2.15
Au 0.7500 0.0882 0.4712  2 O 2.15
Au 0.2500 0.9118 0.5288  2 O 2.15
Au 0.7500 0.4117 0.9712  2 O 2.15
K 0.2500 0.3447 0.2306  5 O 2.60-2.82
K 0.7500 0.8447 0.2693  5 O 2.60-2.82
K 0.2500 0.1553 0.7307  5 O 2.60-2.82
K 0.7500 0.6553 0.7693  5 O 2.60-2.82
O 0.7500 0.7144 0.0737  1 Pt 2.00, 2 Au 2.15
O 0.2500 0.9436 0.0851  3 Pt 2.08-2.09
O 0.7500 0.1816 0.1162  2 Pt 2.04
O 0.2500 0.6816 0.3838  2 Pt 2.04
O 0.7500 0.4436 0.4148  3 Pt 2.08-2.09
O 0.2500 0.2144 0.4263  1 Pt 2.00, 2 Au 2.15
O 0.7500 0.7856 0.5737  1 Pt 2.00, 2 Au 2.15
O 0.2500 0.5564 0.5851  3 Pt 2.08-2.09
O 0.7500 0.3184 0.6162  2 Pt 2.04
O 0.2500 0.8184 0.8838  2 Pt 2.04
O 0.7500 0.0564 0.9148  3 Pt 2.08-2.09
O 0.2500 0.2856 0.9263  1 Pt 2.00, 2 Au 2.15
Pt 0.2500 0.1245 0.0170  6 O 2.00-2.09
Pt 0.7500 0.6245 0.4830  6 O 2.00-2.09
Pt 0.2500 0.3755 0.5170  6 O 2.00-2.09
Pt 0.7500 0.8755 0.9830  6 O 2.00-2.09

Results
As for the spin magnetization: 0.000 μB/f.u. For the total energy, the calculation gives -4.886 eV per atom.

=====

6.
First-principles (GGA-PBE) data for a relaxed structure of KRbAu2O4, as listed in the Open Quantum Materials Database.

a b c (Å): 6.1323 6.4915 6.4915
angles (deg): 33.80 90.00 90.00
Last column: nearest neighbours and their distance in Å.
Fractional coordinates of all 8 atoms:
Au 0.5000 0.4968 0.4968  4 O 2.04
Au 0.0000 0.5027 0.5027  4 O 2.03
K 0.0000 0.7832 0.7832  6 O 2.68-2.76
O 0.2429 0.3921 0.3921  2 Au 2.03-2.04
O 0.7571 0.3921 0.3921  2 Au 2.03-2.04
O 0.2538 0.6073 0.6073  2 Au 2.03-2.04
O 0.7462 0.6073 0.6073  2 Au 2.03-2.04
Rb 0.5000 0.2185 0.2185  6 O 2.67-2.78

Results
For the total energy, the calculation gives -4.286 eV per atom.

=====

7.
First-principles (GGA-PBE) data for a relaxed structure of KRbAu2O2, as listed in the Open Quantum Materials Database.

a b c (Å): 6.9651 4.4432 4.4432
angles (deg): 82.82 90.00 90.00
Last column: nearest neighbours and their distance in Å.
Fractional coordinates of all 6 atoms:
Au 0.2486 0.9995 0.9995  2 O 2.03
Au 0.7514 0.9995 0.9995  2 O 2.03
K 0.0000 0.4427 0.4427  1 O 2.65
O 0.5000 0.1547 0.1547  2 Au 2.03
O 0.0000 0.8405 0.8405  2 Au 2.03
Rb 0.5000 0.5632 0.5632  3 O 2.72-3.00

Results
For the total energy, the calculation gives -3.861 eV per atom.

=====

8.
First-principles (GGA-PBE) data for a relaxed structure of KRb4Au2O, as listed in the Open Quantum Materials Database.

a b c (Å): 9.0637 9.9930 9.9930
angles (deg): 26.29 90.00 90.00
Last column: nearest neighbours and their distance in Å.
Fractional coordinates of all 8 atoms:
Au 0.0000 0.2957 0.2957  2 Au 2.77
Au 0.0000 0.7141 0.7141  1 O 2.17
K 0.0000 0.4748 0.4748  1 O 2.49
O 0.0000 0.6025 0.6025  1 Au 2.17
Rb 0.2045 0.1205 0.1205  2 O 2.95
Rb 0.7955 0.1205 0.1205  2 O 2.95
Rb 0.2748 0.8359 0.8359  3 Au 3.44-3.46
Rb 0.7252 0.8359 0.8359  3 Au 3.44-3.46

Results
For the total energy, the calculation gives -2.442 eV per atom.